This record from Alexandria describes an optimized crystal structure of SrLiMoF6. The functional is PBE+U.

Cell lengths 5.308, 5.453, 5.453 Å; angles 120.00, 90.00, 90.00 degrees
Fractional coordinates of all 9 atoms:
Li 0.500 0.667 0.333
F 0.284 0.689 0.022
F 0.716 0.334 0.022
F 0.284 0.978 0.666
Sr 0.000 0.333 0.667
Mo 0.500 0.000 0.000
F 0.716 0.978 0.311
F 0.284 0.334 0.311
F 0.716 0.689 0.666

DFT total energy, eV per formula unit: -50.12
SG: P312, No. 149
Magnetic moment, μB/f.u.: 3.00
DOS(E_F), states/eV/cell: 0.00